Record 1
! Al2CCl, relaxed, DFT PBE; values from VASP
! space group	Fm-3m, No. 225
! total magnetic moment	0.0	μB per formula unit
! mass density	3.15	g cm⁻³
! uncorrected formation energy	921	meV per atom
! DOS at the Fermi energy	0.2334	states/eV per atom
! electronic total energy	-14.87	eV/cell
&SYSTEM
  ibrav = 0, nat = 4, ntyp = 3
/
ATOMIC_SPECIES
Al 26.98 Al.upf
C 12.01 C.upf
Cl 35.45 Cl.upf
ATOMIC_POSITIONS crystal
Al 0.250 0.250 0.250
Al 0.750 0.750 0.750
C 0.000 0.000 0.000
Cl 0.500 0.500 0.500
CELL_PARAMETERS angstrom
0.000 2.991 2.991
2.991 0.000 2.991
2.991 2.991 0.000

Record 2
! TlSn2As, relaxed, DFT PBE; values from VASP
! space group	Fm-3m, No. 225
! total magnetic moment	0.0	μB per formula unit
! mass density	8.11	g cm⁻³
! energy above the most stable polymorph in this dataset	0.647	eV per formula unit
! DOS at the Fermi energy	0.6421	states/eV per atom
! electronic total energy	-14.30	eV/cell
! formation energy from the elements	0.73	eV per formula unit
&SYSTEM
  ibrav = 0, nat = 4, ntyp = 3
/
ATOMIC_SPECIES
Tl 204.38 Tl.upf
Sn 118.71 Sn.upf
As 74.92 As.upf
ATOMIC_POSITIONS crystal
Tl 0.500 0.500 0.500
Sn 0.250 0.250 0.250
Sn 0.750 0.750 0.750
As 0.000 0.000 0.000
CELL_PARAMETERS angstrom
-1.810 3.740 3.306
-0.678 4.973 -1.733
-4.900 1.949 -0.624

Record 3
! Sr3Al5Br12, relaxed, DFT PBE; values from VASP
! space group	Ia-3d, No. 230
! total magnetic moment	0.0	μB per formula unit
! mass density	3.12	g cm⁻³
! uncorrected formation energy	-978	meV per atom
! DOS at the Fermi energy	0.6320	states/eV per atom
! electronic total energy	-253.54	eV/cell
&SYSTEM
  ibrav = 0, nat = 80, ntyp = 3
/
ATOMIC_SPECIES
Br 79.90 Br.upf
Sr 87.62 Sr.upf
Al 26.98 Al.upf
ATOMIC_POSITIONS crystal
Br 0.825 0.912 0.048
Sr 0.375 0.625 0.250
Sr 0.375 0.750 0.625
Br 0.675 0.223 0.587
Br 0.912 0.825 0.548
Sr 0.750 0.375 0.125
Br 0.864 0.277 0.452
Al 0.125 0.750 0.375
Al 0.875 0.250 0.625
Br 0.913 0.088 0.636
Al 0.500 0.500 0.000
Sr 0.625 0.250 0.375
Al 0.000 0.000 0.500
Br 0.325 0.777 0.413
Br 0.223 0.675 0.087
Br 0.223 0.548 0.636
Al 0.625 0.875 0.250
Br 0.548 0.325 0.912
Br 0.048 0.636 0.723
Br 0.175 0.087 0.723
Br 0.548 0.223 0.136
Al 0.125 0.375 0.250
Br 0.175 0.088 0.952
Br 0.452 0.777 0.864
Al 0.375 0.125 0.750
Br 0.277 0.413 0.825
Sr 0.625 0.375 0.750
Br 0.277 0.864 0.952
Al 0.000 0.500 0.500
Al 0.500 0.000 0.500
Br 0.412 0.048 0.325
Br 0.952 0.364 0.277
Sr 0.250 0.625 0.875
Br 0.087 0.912 0.364
Br 0.364 0.952 0.777
Br 0.452 0.675 0.088
Br 0.588 0.636 0.413
Br 0.413 0.277 0.325
Br 0.952 0.588 0.175
Sr 0.250 0.125 0.375
Al 0.250 0.875 0.125
Br 0.412 0.364 0.587
Al 0.875 0.625 0.750
Br 0.587 0.864 0.412
Br 0.088 0.913 0.136
Br 0.864 0.587 0.912
Sr 0.125 0.875 0.750
Al 0.000 0.500 0.000
Al 0.375 0.250 0.125
Br 0.675 0.452 0.588
Br 0.136 0.723 0.548
Br 0.636 0.588 0.913
Br 0.723 0.136 0.048
Br 0.588 0.952 0.675
Br 0.364 0.412 0.087
Br 0.048 0.412 0.825
Al 0.750 0.125 0.875
Al 0.625 0.750 0.875
Al 0.750 0.625 0.375
Br 0.913 0.825 0.777
Al 0.500 0.000 0.000
Br 0.636 0.048 0.223
Al 0.250 0.375 0.625
Al 0.500 0.500 0.500
Br 0.825 0.913 0.277
Br 0.087 0.175 0.223
Sr 0.750 0.875 0.625
Br 0.413 0.136 0.588
Br 0.325 0.548 0.412
Br 0.723 0.587 0.175
Br 0.777 0.452 0.364
Br 0.777 0.325 0.913
Br 0.912 0.087 0.864
Br 0.136 0.413 0.088
Br 0.587 0.723 0.675
Br 0.088 0.175 0.452
Sr 0.875 0.750 0.125
Al 0.000 0.000 0.000
Sr 0.875 0.125 0.250
Sr 0.125 0.250 0.875
CELL_PARAMETERS angstrom
-13.943 3.376 5.973
-1.656 -4.565 -14.761
6.542 -11.427 8.253

Record 4
! SiSb4W, relaxed, DFT PBE; values from VASP
! space group	F-43m, No. 216
! total magnetic moment	2.9	μB per formula unit
! mass density	7.45	g cm⁻³
! uncorrected formation energy	1350	meV per atom
! DOS at the Fermi energy	0.9400	states/eV per atom
! electronic total energy	-26.76	eV/cell
&SYSTEM
  ibrav = 0, nat = 6, ntyp = 3
/
ATOMIC_SPECIES
Sb 121.76 Sb.upf
W 183.84 W.upf
Si 28.09 Si.upf
ATOMIC_POSITIONS crystal
Sb 0.875 0.375 0.375
Sb 0.375 0.375 0.375
Sb 0.375 0.375 0.875
Sb 0.375 0.875 0.375
W 0.000 0.000 0.000
Si 0.750 0.750 0.750
CELL_PARAMETERS angstrom
1.739 -5.235 -2.462
-2.001 -5.223 2.281
-3.958 -3.336 -3.113

Record 5
! NaSr8Ca2, relaxed, DFT PBE; values from VASP
! space group	C2/m, No. 12
! total magnetic moment	0.0	μB per formula unit
! mass density	2.39	g cm⁻³
! DOS at the Fermi energy	1.0174	states/eV per atom
! electronic total energy	-18.55	eV/cell
! formation energy from the elements	0.22	eV per formula unit
&SYSTEM
  ibrav = 0, nat = 11, ntyp = 3
/
ATOMIC_SPECIES
Ca 40.08 Ca.upf
Sr 87.62 Sr.upf
Na 22.99 Na.upf
ATOMIC_POSITIONS crystal
Ca 0.855 0.817 0.711
Ca 0.145 0.183 0.289
Sr 0.039 0.744 0.079
Sr 0.323 0.084 0.646
Sr 0.223 0.636 0.445
Sr 0.961 0.256 0.921
Sr 0.777 0.364 0.555
Sr 0.677 0.916 0.354
Sr 0.409 0.563 0.818
Na 0.500 0.000 0.000
Sr 0.591 0.437 0.182
CELL_PARAMETERS angstrom
-2.446 -2.713 -4.938
3.272 -7.579 2.543
-8.256 0.953 7.386

Record 6
! La2Tb3Sm8, relaxed, DFT PBE; values from VASP
! space group	P-1, No. 2
! total magnetic moment	0.0	μB per formula unit
! mass density	7.32	g cm⁻³
! energy above the most stable polymorph in this dataset	0.000	eV per formula unit
! DOS at the Fermi energy	1.5162	states/eV per atom
! electronic total energy	-59.18	eV/cell
! formation energy from the elements	2.32	eV per formula unit
&SYSTEM
  ibrav = 0, nat = 13, ntyp = 3
/
ATOMIC_SPECIES
Sm 150.36 Sm.upf
La 138.91 La.upf
Tb 158.93 Tb.upf
ATOMIC_POSITIONS crystal
Sm 0.000 0.212 0.248
Sm 0.500 0.470 0.168
Sm 0.000 0.788 0.752
Sm 0.500 0.530 0.832
La 0.504 0.307 0.481
Tb 0.000 0.734 0.061
La 0.496 0.693 0.519
Tb 0.500 0.000 0.000
Sm 0.003 0.257 0.622
Tb 0.000 0.266 0.939
Sm 0.498 0.917 0.264
Sm 0.502 0.083 0.736
Sm 0.997 0.743 0.378
CELL_PARAMETERS angstrom
-0.661 -1.465 5.149
-4.442 -6.008 -2.276
10.624 -3.317 0.437

Record 7
! AlPt2Pb, relaxed, DFT PBE; values from VASP
! space group	Pm, No. 6
! total magnetic moment	0.0	μB per formula unit
! mass density	13.06	g cm⁻³
! DOS at the Fermi energy	0.3949	states/eV per atom
! electronic total energy	-21.31	eV/cell
! formation energy from the elements	-1.78	eV per formula unit
&SYSTEM
  ibrav = 0, nat = 4, ntyp = 3
/
ATOMIC_SPECIES
Al 26.98 Al.upf
Pt 195.08 Pt.upf
Pb 207.20 Pb.upf
ATOMIC_POSITIONS crystal
Al 0.000 0.519 0.338
Pt 0.000 0.177 0.018
Pt 0.500 0.013 0.351
Pb 0.500 0.791 0.793
CELL_PARAMETERS angstrom
4.054 0.000 0.000
0.000 3.075 0.043
0.000 1.432 6.390

Record 8
! Sm6InRu, relaxed, DFT PBE; values from VASP
! space group	C2/m, No. 12
! total magnetic moment	0.0	μB per formula unit
! mass density	7.15	g cm⁻³
! energy above the most stable polymorph in this dataset	0.320	eV per formula unit
! DOS at the Fermi energy	1.1961	states/eV per atom
! electronic total energy	-40.77	eV/cell
! formation energy from the elements	-0.44	eV per formula unit
&SYSTEM
  ibrav = 0, nat = 8, ntyp = 3
/
ATOMIC_SPECIES
Ru 101.07 Ru.upf
Sm 150.36 Sm.upf
In 114.82 In.upf
ATOMIC_POSITIONS crystal
Ru 0.500 0.500 0.000
Sm 0.209 0.427 0.377
Sm 0.209 0.804 0.623
Sm 0.371 0.213 0.000
Sm 0.791 0.573 0.623
Sm 0.791 0.196 0.377
Sm 0.629 0.787 0.000
In 0.000 0.000 0.000
CELL_PARAMETERS angstrom
6.472 0.317 0.000
1.777 7.936 0.000
0.888 3.968 5.110

Record 9
! SrCd3Te, relaxed, DFT PBE; values from VASP
! space group	Pm-3m, No. 221
! total magnetic moment	0.0	μB per formula unit
! mass density	4.72	g cm⁻³
! energy above the most stable polymorph in this dataset	0.000	eV per formula unit
! uncorrected formation energy	145	meV per atom
! DOS at the Fermi energy	0.4948	states/eV per atom
! electronic total energy	-6.84	eV/cell
&SYSTEM
  ibrav = 0, nat = 5, ntyp = 3
/
ATOMIC_SPECIES
Cd 112.41 Cd.upf
Sr 87.62 Sr.upf
Te 127.60 Te.upf
ATOMIC_POSITIONS crystal
Cd 0.500 0.000 0.000
Cd 0.000 0.500 0.000
Sr 0.500 0.500 0.500
Cd 0.000 0.000 0.500
Te 0.000 0.000 0.000
CELL_PARAMETERS angstrom
-5.531 1.703 -0.215
-1.713 -5.427 1.070
0.113 1.086 5.687

Record 10
! CeGa9Pd2, relaxed, DFT PBE; values from VASP
! space group	I4_1/amd, No. 141
! total magnetic moment	0.9	μB per formula unit
! mass density	7.50	g cm⁻³
! DOS at the Fermi energy	0.8032	states/eV per atom
! electronic total energy	-95.12	eV/cell
! formation energy from the elements	-4.00	eV per formula unit
&SYSTEM
  ibrav = 0, nat = 24, ntyp = 3
/
ATOMIC_SPECIES
Pd 106.42 Pd.upf
Ga 69.72 Ga.upf
Ce 140.12 Ce.upf
ATOMIC_POSITIONS crystal
Pd 0.875 0.250 0.750
Ga 0.765 0.810 0.571
Ga 0.146 0.429 0.190
Ga 0.425 0.429 0.810
Ga 0.604 0.071 0.310
Ga 0.604 0.310 0.071
Ga 0.664 0.190 0.571
Ga 0.750 0.500 0.500
Ga 0.086 0.310 0.929
Ga 0.086 0.929 0.310
Ce 0.500 0.000 0.000
Pd 0.875 0.750 0.250
Ga 0.664 0.571 0.190
Ga 0.985 0.929 0.690
Ga 0.985 0.690 0.929
Ga 0.765 0.571 0.810
Ga 0.000 0.000 0.000
Pd 0.875 0.250 0.250
Pd 0.375 0.750 0.750
Ga 0.146 0.190 0.429
Ce 0.250 0.500 0.500
Ga 0.325 0.690 0.071
Ga 0.325 0.071 0.690
Ga 0.425 0.810 0.429
CELL_PARAMETERS angstrom
-3.844 -1.927 -5.241
-6.179 -5.688 2.239
-6.955 5.082 -1.152

Record 11
! InNiTe2N, relaxed, DFT PBE; values from VASP
! space group	P4/mmm, No. 123
! total magnetic moment	2.6	μB per formula unit
! mass density	5.51	g cm⁻³
! energy above the most stable polymorph in this dataset	4.840	eV per formula unit
! uncorrected formation energy	1294	meV per atom
! DOS at the Fermi energy	1.4670	states/eV per atom
! electronic total energy	-16.66	eV/cell
&SYSTEM
  ibrav = 0, nat = 5, ntyp = 4
/
ATOMIC_SPECIES
Te 127.60 Te.upf
N 14.01 N.upf
In 114.82 In.upf
Ni 58.69 Ni.upf
ATOMIC_POSITIONS crystal
Te 0.500 0.000 0.000
Te 0.000 0.500 0.000
N 0.000 0.000 0.500
In 0.000 0.000 0.000
Ni 0.500 0.500 0.500
CELL_PARAMETERS angstrom
-1.625 -4.806 2.821
3.867 -3.088 -3.034
2.739 0.703 2.776

Record 12
! TbFe2Cl8, relaxed, DFT PBE; values from VASP
! space group	C2/m, No. 12
! total magnetic moment	9.0	μB per formula unit
! mass density	2.30	g cm⁻³
! energy above the most stable polymorph in this dataset	0.338	eV per formula unit
! uncorrected formation energy	-1248	meV per atom
! DOS at the Fermi energy	0.4672	states/eV per atom
! electronic total energy	-50.06	eV/cell
&SYSTEM
  ibrav = 0, nat = 11, ntyp = 3
/
ATOMIC_SPECIES
Fe 55.84 Fe.upf
Cl 35.45 Cl.upf
Tb 158.93 Tb.upf
ATOMIC_POSITIONS crystal
Fe 0.017 0.017 0.324
Fe 0.983 0.983 0.676
Cl 0.295 0.295 0.171
Cl 0.959 0.260 0.806
Cl 0.705 0.705 0.829
Cl 0.229 0.229 0.511
Cl 0.041 0.740 0.194
Cl 0.260 0.959 0.806
Cl 0.771 0.771 0.489
Tb 0.000 0.000 0.000
Cl 0.740 0.041 0.194
CELL_PARAMETERS angstrom
-2.918 5.111 -3.479
-3.659 -5.706 0.891
-3.307 3.593 8.335